CoSe | PBE | relaxed

Cell lengths 3.204, 3.204, 6.641 Å; angles 90.00, 90.00, 90.00 degrees
Space group P4_2/mmc (No. 131)
One atom of each set of equivalent atoms:
Co (0.000, 0.500, 0.000)
Se (0.000, 0.000, 0.250)

## Properties
total energy	-5.18	eV per atom
total magnetization	0.1	μB/f.u.

=====

Co2Se3 | PBE | relaxed

Cell lengths 6.1798, 6.1798, 10.2472 Å; angles 90.00, 90.00, 120.00 degrees
Space group P-31c (No. 163)
One atom of each set of equivalent atoms:
Co (0.0000, 0.0000, 0.0000)
Co (0.3333, 0.6667, 0.0093)
Co (0.3333, 0.6667, 0.7500)
Se (0.0062, 0.3354, 0.8813)

## Properties
total energy	-5.22	eV per atom
total magnetization	0.8	μB/f.u.

=====

CoSe3 | PBE | relaxed

Cell lengths 4.193, 4.193, 4.193 Å; angles 90.00, 90.00, 90.00 degrees
Space group Pm-3m (No. 221)
One atom of each set of equivalent atoms:
Co (0.000, 0.000, 0.000)
Se (0.000, 0.500, 0.500)

## Properties
total energy	-3.58	eV per atom
offset from the most stable computed form	766	meV per atom
total magnetization	2.0	μB/f.u.

=====

CoSe | PBE | relaxed

Cell lengths 5.955, 3.501, 3.444 Å; angles 90.00, 124.36, 90.00 degrees
Space group C2/m (No. 12)
One atom of each set of equivalent atoms:
Co (0.000, 0.000, 0.000)
Se (0.000, 0.500, 0.500)

## Properties
total energy	-5.19	eV per atom
total magnetization	0.0	μB/f.u.

=====

CoSe3 | PBE | relaxed

Cell lengths 7.7585, 7.7585, 3.3043 Å; angles 90.00, 90.00, 120.00 degrees
Space group P6_3/mmc (No. 194)
One atom of each set of equivalent atoms:
Co (0.3333, 0.6667, 0.2500)
Se (0.2082, 0.4164, 0.7500)

## Properties
total energy	-4.35	eV per atom
offset from the most stable computed form	0	meV per atom
total magnetization	0.0	μB/f.u.

=====

Co2Sn3Se3 | PBE | relaxed

Cell lengths 12.4209, 12.4209, 15.1676 Å; angles 90.00, 90.00, 120.00 degrees
Space group R-3 (No. 148, hexagonal axes)
One atom of each set of equivalent atoms:
Co (0.0000, 0.0000, 0.2414)
Co (0.9999, 0.4966, 0.7587)
Sn (0.0044, 0.8382, 0.3391)
Sn (0.0570, 0.2713, 0.9430)
Se (0.0100, 0.8366, 0.8341)
Se (0.0557, 0.4491, 0.1050)

## Properties
total energy	-4.96	eV per atom
total magnetization	0.0	μB/f.u.

=====

CoSn10Se10 | PBE | relaxed

Cell lengths 11.368, 11.810, 8.595 Å; angles 90.00, 90.00, 90.00 degrees
Space group Pbam (No. 55)
One atom of each set of equivalent atoms:
Co (0.000, 0.000, 0.000)
Sn (0.000, 0.500, 0.249)
Sn (0.128, 0.084, 0.231)
Sn (0.130, 0.825, 0.000)
Sn (0.240, 0.818, 0.500)
Se (0.001, 0.170, 0.500)
Se (0.138, 0.597, 0.000)
Se (0.178, 0.315, 0.193)
Se (0.201, 0.554, 0.500)

## Properties
total energy	-4.17	eV per atom
total magnetization	0.0	μB/f.u.

=====

Ta4Co2SnSe12 | PBE | relaxed

Cell lengths 13.908, 3.404, 19.996 Å; angles 90.00, 106.07, 90.00 degrees
Space group C2/m (No. 12)
One atom of each set of equivalent atoms:
Ta (0.136, 0.000, 0.167)
Ta (0.246, 0.000, 0.410)
Co (0.233, 0.500, 0.292)
Sn (0.000, 0.500, 0.000)
Se (0.013, 0.500, 0.860)
Se (0.110, 0.000, 0.294)
Se (0.126, 0.000, 0.608)
Se (0.136, 0.500, 0.457)
Se (0.187, 0.500, 0.757)
Se (0.201, 0.500, 0.090)

## Properties
total energy	-6.31	eV per atom
total magnetization	0.0	μB/f.u.

=====

SrCo2Se3 | PBE | relaxed

Cell lengths 3.894, 13.532, 9.238 Å; angles 90.00, 90.00, 90.00 degrees
Space group Cmcm (No. 63)
One atom of each set of equivalent atoms:
Sr (0.000, 0.241, 0.250)
Co (0.000, 0.000, 0.000)
Co (0.000, 0.475, 0.750)
Se (0.000, 0.071, 0.750)
Se (0.000, 0.373, 0.544)

## Properties
total energy	-5.00	eV per atom
total magnetization	4.1	μB/f.u.

=====

Sr2CoSe3 | PBE | relaxed

Cell lengths 8.706, 4.250, 16.950 Å; angles 90.00, 90.00, 90.00 degrees
Space group Pnma (No. 62)
One atom of each set of equivalent atoms:
Sr (0.085, 0.250, 0.213)
Sr (0.247, 0.750, 0.458)
Co (0.126, 0.250, 0.635)
Se (0.001, 0.750, 0.602)
Se (0.127, 0.750, 0.071)
Se (0.180, 0.250, 0.775)

## Properties
total energy	-4.81	eV per atom
total magnetization	3.0	μB/f.u.

=====

Sr2CoTcSe6 | PBE | relaxed

Cell lengths 12.243, 6.211, 7.656 Å; angles 90.00, 127.81, 90.00 degrees
Space group C2/m (No. 12)
One atom of each set of equivalent atoms:
Sr (0.240, 0.000, 0.257)
Co (0.000, 0.500, 0.000)
Tc (0.000, 0.000, 0.500)
Se (0.057, 0.260, 0.806)
Se (0.242, 0.500, 0.332)

## Properties
total energy	-4.88	eV per atom
offset from the most stable computed form	96	meV per atom
total magnetization	3.0	μB/f.u.

=====

Sr2CoTcSe6 | PBE | relaxed

Cell lengths 6.290, 6.294, 7.397 Å; angles 114.54, 114.27, 90.10 degrees
Space group P1 (No. 1)
One atom of each set of equivalent atoms:
Sr (0.000, 0.000, 0.000)
Sr (0.490, 0.494, 0.992)
Co (0.244, 0.746, 0.495)
Tc (0.745, 0.247, 0.496)
Se (0.109, 0.093, 0.500)
Se (0.380, 0.401, 0.492)
Se (0.520, 0.017, 0.046)
Se (0.603, 0.896, 0.522)
Se (0.887, 0.598, 0.470)
Se (0.969, 0.477, 0.946)

## Properties
total energy	-4.97	eV per atom
offset from the most stable computed form	0	meV per atom
total magnetization	3.0	μB/f.u.